(1)
A geometry-optimized TcPt3Rh12 structure. Source: Alexandria via LeMat-Bulk, functional PBE.

Summary:
The formation energy comes out at -4.4 kJ/mol of atoms. Its crystal system is tetragonal. As for the total moment: 0.00 Bohr magnetons per cell. For the density of states at the Fermi level, the calculation gives 1.3071 states/eV/atom.

Geometry as CIF:
```
data_TcPt3Rh12
_cell_length_a 3.863
_cell_length_b 3.863
_cell_length_c 15.488
_cell_angle_alpha 90.00
_cell_angle_beta 90.00
_cell_angle_gamma 90.00
_space_group_name_H-M_alt 'P 4/m m m'
_space_group_IT_number 123
_space_group_name_Hall '-P 4 2'
loop_
_atom_site_label
_atom_site_fract_x
_atom_site_fract_y
_atom_site_fract_z
Tc1 0.000 0.000 0.000
Pt1 0.000 0.000 0.251
Pt2 0.000 0.000 0.500
Rh1 0.000 0.500 0.121
Rh2 0.000 0.500 0.375
Rh3 0.500 0.500 0.000
Rh4 0.500 0.500 0.248
Rh5 0.500 0.500 0.500
```

(2)
A geometry-optimized Tc2Pt2Rh structure. Source: Alexandria via LeMat-Bulk, functional PBE.

Summary:
The formation energy comes out at 33.4 kJ/mol of atoms. The energy above the most stable polymorph in this dataset comes out at 124.5 meV per atom. Its crystal system is tetragonal. As for the total moment: 0.00 Bohr magnetons per cell. For the density of states at the Fermi level, the calculation gives 1.3141 states/eV/atom.

Geometry as CIF:
```
data_Tc2Pt2Rh
_cell_length_a 3.539
_cell_length_b 3.539
_cell_length_c 13.038
_cell_angle_alpha 90.00
_cell_angle_beta 90.00
_cell_angle_gamma 90.00
_space_group_name_H-M_alt 'I 4/m m m'
_space_group_IT_number 139
_space_group_name_Hall '-I 4 2'
loop_
_atom_site_label
_atom_site_fract_x
_atom_site_fract_y
_atom_site_fract_z
Tc1 0.000 0.500 0.250
Pt1 0.000 0.000 0.097
Rh1 0.000 0.000 0.500
```

(3)
A geometry-optimized Tc3Pt2Rh6 structure. Source: Alexandria via LeMat-Bulk, functional PBE.

Summary:
The formation energy comes out at -10.7 kJ/mol of atoms. Its crystal system is triclinic. As for the total moment: 0.00 Bohr magnetons per cell. For the density of states at the Fermi level, the calculation gives 1.0132 states/eV/atom.

Geometry as CIF:
```
data_Tc3Pt2Rh6
_cell_length_a 3.893
_cell_length_b 6.087
_cell_length_c 7.231
_cell_angle_alpha 104.65
_cell_angle_beta 105.60
_cell_angle_gamma 90.02
_space_group_name_H-M_alt 'P -1'
_space_group_IT_number 2
_space_group_name_Hall '-P 1'
loop_
_atom_site_label
_atom_site_fract_x
_atom_site_fract_y
_atom_site_fract_z
Tc1 0.000 0.000 0.000
Tc2 0.086 0.449 0.173
Pt1 0.277 0.369 0.552
Rh1 0.182 0.905 0.362
Rh2 0.369 0.825 0.740
Rh3 0.456 0.272 0.914
```

(4)
A geometry-optimized TcPt4Rh structure. Source: Alexandria via LeMat-Bulk, functional PBE.

Summary:
The formation energy comes out at 35.0 kJ/mol of atoms. The energy above the most stable polymorph in this dataset comes out at 468.8 meV per atom. Its crystal system is cubic. As for the total moment: 7.49 Bohr magnetons per cell. For the density of states at the Fermi level, the calculation gives 1.6999 states/eV/atom.

Geometry as CIF:
```
data_TcPt4Rh
_cell_length_a 7.341
_cell_length_b 7.341
_cell_length_c 7.341
_cell_angle_alpha 90.00
_cell_angle_beta 90.00
_cell_angle_gamma 90.00
_space_group_name_H-M_alt 'F -4 3 m'
_space_group_IT_number 216
_space_group_name_Hall 'F -4 2 3'
loop_
_atom_site_label
_atom_site_fract_x
_atom_site_fract_y
_atom_site_fract_z
Tc1 0.000 0.000 0.000
Pt1 0.125 0.125 0.625
Rh1 0.250 0.250 0.250
```

(5)
A geometry-optimized TcPtRh2 structure. Source: Alexandria via LeMat-Bulk, functional PBE.

Summary:
The formation energy comes out at 13.0 kJ/mol of atoms. The energy above the most stable polymorph in this dataset comes out at 279.3 meV per atom. Its crystal system is tetragonal. As for the total moment: 0.48 Bohr magnetons per cell. For the density of states at the Fermi level, the calculation gives 1.3400 states/eV/atom.

Geometry as CIF:
```
data_TcPtRh2
_cell_length_a 3.300
_cell_length_b 3.300
_cell_length_c 5.481
_cell_angle_alpha 90.00
_cell_angle_beta 90.00
_cell_angle_gamma 90.00
_space_group_name_H-M_alt 'P 4/m m m'
_space_group_IT_number 123
_space_group_name_Hall '-P 4 2'
loop_
_atom_site_label
_atom_site_fract_x
_atom_site_fract_y
_atom_site_fract_z
Tc1 0.000 0.000 0.000
Pt1 0.000 0.000 0.500
Rh1 0.500 0.500 0.242
```

(6)
A geometry-optimized TcPt4Rh2 structure. Source: Alexandria via LeMat-Bulk, functional PBE.

Summary:
The formation energy comes out at 8.5 kJ/mol of atoms. The energy above the most stable polymorph in this dataset comes out at 177.9 meV per atom. Its crystal system is orthorhombic. As for the total moment: 0.00 Bohr magnetons per cell. For the density of states at the Fermi level, the calculation gives 1.5967 states/eV/atom.

Geometry as CIF:
```
data_TcPt4Rh2
_cell_length_a 2.738
_cell_length_b 20.700
_cell_length_c 3.946
_cell_angle_alpha 90.00
_cell_angle_beta 90.00
_cell_angle_gamma 90.00
_space_group_name_H-M_alt 'C m m m'
_space_group_IT_number 65
_space_group_name_Hall '-C 2 2'
loop_
_atom_site_label
_atom_site_fract_x
_atom_site_fract_y
_atom_site_fract_z
Tc1 0.000 0.000 0.000
Pt1 0.000 0.136 0.000
Pt2 0.000 0.435 0.500
Rh1 0.000 0.302 0.500
```